VASP calculation (PBE) on an optimized crystal structure of PrNdErZn.

Calculated values
Its energy above the most stable polymorph in this dataset is 174 meV/atom. The density of states at the Fermi level comes out at 1.24 states/eV per atom. The value obtained for the energy relative to the elements is 0.02 eV/atom. The calculation puts the total energy at -15.31 eV/cell. The value obtained for the magnetization is 0.0 Bohr magnetons per cell.

Lattice parameters (Å, degrees): 5.4544 5.4544 5.4544 60.00 60.00 60.00
Positions (direct):
Zn: 0.0000 0.0000 0.0000
Pr: 0.7500 0.7500 0.7500
Er: 0.5000 0.5000 0.5000
Nd: 0.2500 0.2500 0.2500